No. 1
La6CePmEr2 (PBE, relaxed); energy relative to the elements = 2.21 eV/f.u.
1.0
9.005 0.000 0.780
0.000 6.857 0.000
-2.599 -3.428 5.532
La Er Ce Pm
6 2 1 1
direct
0.190 0.113 0.706
0.190 0.593 0.706
0.810 0.407 0.294
0.582 0.336 0.672
0.810 0.887 0.294
0.418 0.664 0.328
0.178 0.101 0.203
0.822 0.899 0.797
0.000 0.500 0.000
0.500 0.000 0.000


No. 2
La6CePr2Er (PBE, relaxed); energy relative to the elements = 2.02 eV/f.u.
1.0
-8.382 1.863 5.160
-3.639 -3.976 -4.475
5.205 -2.669 3.623
La Ce Pr Er
6 1 2 1
direct
0.420 0.650 0.300
0.182 0.537 0.629
0.818 0.908 0.371
0.818 0.463 0.371
0.182 0.092 0.629
0.580 0.350 0.700
0.000 0.500 0.000
0.801 0.939 0.877
0.199 0.061 0.123
0.500 0.000 0.000


No. 3
LaCeErPu (PBE, relaxed); energy relative to the elements = 1.09 eV/f.u.
1.0
-3.750 1.290 3.974
-5.486 -0.053 -1.194
-3.302 -4.000 2.149
Ce Er Pu La
1 1 1 1
direct
0.500 0.500 0.500
0.750 0.750 0.750
0.000 0.000 0.000
0.250 0.250 0.250


No. 4
LaCe2ErS5 (PBE, relaxed); formation energy (no corrections) = -1.578 eV per atom
1.0
-3.319 -0.831 -3.468
3.563 -0.973 -3.177
-0.328 -10.220 2.763
S Er La Ce
5 1 1 2
direct
0.500 0.000 0.500
0.000 0.000 0.252
0.500 0.500 0.000
0.000 0.000 0.748
0.000 0.500 0.500
0.000 0.000 0.500
0.000 0.000 0.000
0.500 0.500 0.312
0.500 0.500 0.688


No. 5
La2CeErS5 (PBE, relaxed); formation energy (no corrections) = -1.965 eV per atom
1.0
-2.331 1.984 2.593
3.370 -6.417 4.837
10.326 7.876 3.255
La S Ce Er
4 10 2 2
direct
0.919 0.839 0.140
0.081 0.161 0.640
0.138 0.276 0.303
0.862 0.724 0.803
0.289 0.578 0.401
0.082 0.164 0.081
0.494 0.987 0.758
0.613 0.226 0.481
0.918 0.836 0.581
0.387 0.774 0.981
0.747 0.494 0.179
0.506 0.013 0.258
0.253 0.506 0.679
0.711 0.422 0.901
0.446 0.892 0.444
0.554 0.108 0.944
0.235 0.470 0.036
0.765 0.530 0.536


No. 6
La2Ce3ErSb6 (PBE, relaxed); formation energy (no corrections) = -1.122 eV per atom
1.0
7.829 -0.002 -0.001
-3.914 6.780 -0.001
-1.307 -2.263 7.393
Er Sb Ce La
1 6 3 2
direct
0.000 0.000 0.000
0.239 0.239 0.745
0.917 0.592 0.749
0.592 0.917 0.749
0.761 0.761 0.255
0.083 0.408 0.251
0.408 0.083 0.251
0.170 0.830 0.500
0.500 0.500 0.500
0.830 0.170 0.500
0.665 0.335 0.000
0.335 0.665 0.000


No. 7
La2CeErSb4 (PBE, relaxed); formation energy (no corrections) = -1.162 eV per atom
1.0
4.523 0.000 0.000
0.000 7.819 0.135
0.000 -2.734 7.352
Sb La Ce Er
4 2 1 1
direct
0.500 0.757 0.764
0.000 0.749 0.238
0.500 0.243 0.236
0.000 0.251 0.762
0.500 0.000 0.500
0.000 0.500 0.500
0.500 0.500 0.000
0.000 0.000 0.000


No. 8
LaCe2ErSb4 (PBE, relaxed); formation energy (no corrections) = -1.104 eV per atom
1.0
-1.613 -3.373 -2.502
5.328 1.517 -5.481
6.440 -4.139 1.429
La Ce Er Sb
1 2 1 4
direct
0.500 0.500 0.000
0.500 0.000 0.500
0.000 0.000 0.000
0.000 0.500 0.500
0.500 0.253 0.741
0.500 0.747 0.259
0.000 0.248 0.259
0.000 0.752 0.741


No. 9
LaCe3Er2Sb6 (PBE, relaxed); formation energy (no corrections) = -1.091 eV per atom
1.0
-4.610 6.164 0.919
-3.003 -6.793 -2.219
1.502 -1.614 7.433
Er Sb La Ce
2 6 1 3
direct
0.332 0.668 0.000
0.668 0.332 0.000
0.262 0.262 0.756
0.425 0.083 0.248
0.575 0.917 0.752
0.083 0.425 0.248
0.917 0.575 0.752
0.738 0.738 0.244
0.000 0.000 0.000
0.500 0.500 0.500
0.837 0.163 0.500
0.163 0.837 0.500


No. 10
La3Ce2ErSb6 (PBE, relaxed); formation energy (no corrections) = -1.165 eV per atom
1.0
7.859 -0.001 0.000
-3.928 6.806 0.000
-1.311 -2.271 7.422
Sb Er La Ce
6 1 3 2
direct
0.409 0.079 0.239
0.751 0.751 0.241
0.249 0.249 0.759
0.591 0.921 0.761
0.079 0.409 0.239
0.921 0.591 0.761
0.000 0.000 0.000
0.832 0.168 0.500
0.500 0.500 0.500
0.168 0.832 0.500
0.666 0.334 0.000
0.334 0.666 0.000


No. 11
La3CeEr2Sb6 (PBE, relaxed); formation energy (no corrections) = -1.173 eV per atom
1.0
7.820 -0.002 0.000
-3.909 6.772 0.000
-1.305 -2.259 7.378
La Sb Er Ce
3 6 2 1
direct
0.500 0.500 0.500
0.165 0.835 0.500
0.835 0.165 0.500
0.416 0.079 0.237
0.079 0.416 0.237
0.921 0.584 0.763
0.584 0.921 0.763
0.259 0.259 0.765
0.741 0.741 0.235
0.667 0.333 0.000
0.333 0.667 0.000
0.000 0.000 0.000


No. 12
LaCeErSc (PBE, relaxed); energy relative to the elements = 0.55 eV/f.u.
1.0
5.591 0.000 0.000
2.796 4.842 0.000
2.796 1.614 4.565
Sc Ce La Er
1 1 1 1
direct
0.750 0.750 0.750
0.500 0.500 0.500
0.000 0.000 0.000
0.250 0.250 0.250


No. 13
La2CeEr3Se6 (PBE, relaxed); formation energy (no corrections) = -1.827 eV per atom
1.0
4.099 0.000 0.000
0.000 8.445 0.169
-2.049 -2.570 8.768
Se Er Ce La
6 3 1 2
direct
0.670 0.070 0.340
0.338 0.404 0.676
0.994 0.258 0.989
0.006 0.742 0.011
0.330 0.930 0.660
0.662 0.596 0.324
0.500 0.500 0.000
0.167 0.835 0.335
0.833 0.165 0.665
0.500 0.000 0.000
0.165 0.331 0.331
0.835 0.669 0.669


No. 14
La2CeErSe4 (PBE, relaxed); formation energy (no corrections) = -1.879 eV per atom
1.0
-0.456 1.634 3.827
-6.625 -3.051 0.513
5.008 -4.691 2.599
Er La Se Ce
1 2 4 1
direct
0.000 0.000 0.000
0.000 0.500 0.500
0.500 0.000 0.500
0.000 0.753 0.237
0.500 0.237 0.232
0.500 0.763 0.768
0.000 0.247 0.763
0.500 0.500 0.000


No. 15
La3Ce2ErSe6 (PBE, relaxed); formation energy (no corrections) = -1.888 eV per atom
1.0
7.318 -0.005 -0.003
-3.662 6.337 -0.003
-1.222 -2.117 6.939
Se La Er Ce
6 3 1 2
direct
0.596 0.922 0.764
0.755 0.755 0.240
0.404 0.078 0.236
0.078 0.404 0.236
0.922 0.596 0.764
0.245 0.245 0.760
0.831 0.169 0.500
0.500 0.500 0.500
0.169 0.831 0.500
0.000 0.000 0.000
0.666 0.334 0.000
0.334 0.666 0.000


No. 16
La4Ce3ErSe8 (PBE, relaxed); formation energy (no corrections) = -1.893 eV per atom
1.0
-1.116 -8.395 -0.136
5.817 -0.675 -6.146
1.963 3.887 7.257
Ce Se La Er
3 8 4 1
direct
0.500 0.500 0.000
0.500 0.500 0.500
0.000 0.500 0.500
0.252 0.257 0.505
0.242 0.737 0.484
0.247 0.263 0.005
0.758 0.263 0.005
0.242 0.737 0.995
0.753 0.737 0.995
0.748 0.743 0.495
0.758 0.263 0.516
0.000 0.000 0.000
0.500 0.000 0.000
0.000 0.000 0.500
0.500 0.000 0.500
0.000 0.500 0.000


No. 17
LaCe2Er3Se6 (PBE, relaxed); formation energy (no corrections) = -1.800 eV per atom
1.0
7.098 -0.005 -0.001
-3.552 6.146 -0.001
-1.184 -2.051 6.901
Se Ce Er La
6 2 3 1
direct
0.090 0.427 0.269
0.910 0.573 0.731
0.573 0.910 0.731
0.751 0.751 0.266
0.249 0.249 0.734
0.427 0.090 0.269
0.333 0.667 0.000
0.667 0.333 0.000
0.164 0.836 0.500
0.836 0.164 0.500
0.500 0.500 0.500
0.000 0.000 0.000


No. 18
LaCe4Er3Se8 (PBE, relaxed); formation energy (no corrections) = -1.797 eV per atom
1.0
8.278 0.000 0.000
0.000 8.356 0.048
-4.139 -4.137 5.857
Se Ce Er La
8 4 3 1
direct
0.252 0.741 0.989
0.252 0.741 0.505
0.748 0.259 0.011
0.263 0.259 0.011
0.745 0.734 0.490
0.737 0.741 0.989
0.255 0.266 0.510
0.748 0.259 0.495
0.000 0.000 0.500
0.500 0.000 0.500
0.000 0.000 0.000
0.500 0.000 0.000
0.500 0.500 0.000
0.000 0.500 0.500
0.500 0.500 0.500
0.000 0.500 0.000


No. 19
LaCe2ErSe5 (PBE, relaxed); formation energy (no corrections) = -1.393 eV per atom
1.0
5.101 0.000 0.000
0.000 5.101 0.000
0.000 0.000 11.060
Se Er Ce La
5 1 2 1
direct
0.000 0.500 0.500
0.500 0.000 0.500
0.500 0.500 0.000
0.000 0.000 0.251
0.000 0.000 0.749
0.000 0.000 0.500
0.500 0.500 0.315
0.500 0.500 0.685
0.000 0.000 0.000


No. 20
La3Ce4ErSe8 (PBE, relaxed); formation energy (no corrections) = -1.865 eV per atom
1.0
-7.747 -3.144 1.176
2.767 -7.673 -2.280
3.853 4.179 6.243
La Ce Se Er
3 4 8 1
direct
0.500 0.500 0.000
0.000 0.500 0.500
0.500 0.500 0.500
0.000 0.000 0.500
0.500 0.000 0.500
0.500 0.000 0.000
0.000 0.000 0.000
0.752 0.757 0.505
0.761 0.749 0.005
0.244 0.749 0.005
0.239 0.251 0.995
0.756 0.251 0.512
0.244 0.749 0.488
0.248 0.243 0.495
0.756 0.251 0.995
0.000 0.500 0.000


Number 1: E_tot -0.3467 Ry per atom. Number 2: E_tot -0.3499 Ry per atom. Number 3: E_tot -0.5267 Ry per atom. Number 4: E_tot -0.4590 Ry per atom. Number 5: E_tot -0.4792 Ry per atom. Number 6: E_tot -0.4313 Ry per atom. Number 7: E_tot -0.4239 Ry per atom. Number 8: E_tot -0.4289 Ry per atom. Number 9: E_tot -0.4268 Ry per atom. Number 10: E_tot -0.4283 Ry per atom. Number 11: E_tot -0.4205 Ry per atom. Number 12: E_tot -0.3897 Ry per atom. Number 13: E_tot -0.4429 Ry per atom. Number 14: E_tot -0.4531 Ry per atom. Number 15: E_tot -0.4580 Ry per atom. Number 16: E_tot -0.4605 Ry per atom. Number 17: E_tot -0.4471 Ry per atom. Number 18: E_tot -0.4547 Ry per atom. Number 19: E_tot -0.4191 Ry per atom. Number 20: E_tot -0.4630 Ry per atom.